# Gd2PaGa | the Alexandria database | PBE-GGA | relaxed
# Total magnetization (Bohr magnetons per cell): 13.48
# Distance to the lowest polymorph of the same formula (meV/atom): 0
data_Gd2PaGa
_chemical_formula_sum 'Gd2 Pa1 Ga1'
_space_group_name_H-M_alt 'P 4/m m m'
_space_group_IT_number 123
_space_group_name_Hall '-P 4 2'
_cell_length_a 3.434
_cell_length_b 3.434
_cell_length_c 8.760
_cell_angle_alpha 90.00
_cell_angle_beta 90.00
_cell_angle_gamma 90.00
loop_
_atom_site_label
_atom_site_type_symbol
_atom_site_fract_x
_atom_site_fract_y
_atom_site_fract_z
Gd1 Gd 0.000 0.000 0.223
Pa1 Pa 0.500 0.500 0.500
Ga1 Ga 0.500 0.500 0.000

# Gd2PaGa | the Alexandria database | PBE-GGA | relaxed
# Total magnetization (Bohr magnetons per cell): 14.08
# Distance to the lowest polymorph of the same formula (meV/atom): 105
data_Gd2PaGa
_chemical_formula_sum 'Gd2 Pa1 Ga1'
_space_group_name_H-M_alt 'P 4/m m m'
_space_group_IT_number 123
_space_group_name_Hall '-P 4 2'
_cell_length_a 4.725
_cell_length_b 4.725
_cell_length_c 4.509
_cell_angle_alpha 90.00
_cell_angle_beta 90.00
_cell_angle_gamma 90.00
loop_
_atom_site_label
_atom_site_type_symbol
_atom_site_fract_x
_atom_site_fract_y
_atom_site_fract_z
Gd1 Gd 0.000 0.500 0.000
Pa1 Pa 0.000 0.000 0.500
Ga1 Ga 0.500 0.500 0.500

# Gd2PaGa | the Alexandria database | PBE-GGA | relaxed
# Total magnetization (Bohr magnetons per cell): 41.93
# Distance to the lowest polymorph of the same formula (meV/atom): 67
data_Gd2PaGa
_chemical_formula_sum 'Gd6 Pa3 Ga3'
_space_group_name_H-M_alt 'R -3 m'
_space_group_IT_number 166
_space_group_name_Hall '-R 3 2"'
_cell_length_a 3.4584
_cell_length_b 3.4584
_cell_length_c 30.4879
_cell_angle_alpha 90.00
_cell_angle_beta 90.00
_cell_angle_gamma 120.00
loop_
_atom_site_label
_atom_site_type_symbol
_atom_site_fract_x
_atom_site_fract_y
_atom_site_fract_z
Gd1 Gd 0.0000 0.0000 0.2443
Pa1 Pa 0.0000 0.0000 0.0000
Ga1 Ga 0.0000 0.0000 0.5000

# GdPaGa | the Alexandria database | PBE-GGA | relaxed
# Total magnetization (Bohr magnetons per cell): 7.45
# E_tot (eV per atom): -8.820
data_GdPaGa
_chemical_formula_sum 'Gd1 Pa1 Ga1'
_space_group_name_H-M_alt 'P 3 m 1'
_space_group_IT_number 156
_cell_length_a 5.0566
_cell_length_b 5.0566
_cell_length_c 3.2819
_cell_angle_alpha 90.00
_cell_angle_beta 90.00
_cell_angle_gamma 120.00
loop_
_space_group_symop_operation_xyz
'x,y,z'
'-y,x-y,z'
'-x+y,-x,z'
'-y,-x,z'
'-x+y,y,z'
'x,x-y,z'
loop_
_atom_site_label
_atom_site_type_symbol
_atom_site_fract_x
_atom_site_fract_y
_atom_site_fract_z
Gd1 Gd 0.0000 0.0000 0.0000
Pa1 Pa 0.6667 0.3333 0.4361
Ga1 Ga 0.3333 0.6667 0.7428

# GdPaGaPd | the Alexandria database | PBE-GGA | relaxed
# Total magnetization (Bohr magnetons per cell): 32.65
# E_tot (eV per atom): -8.303
data_GdPaGaPd
_chemical_formula_sum 'Gd4 Pa4 Ga4 Pd4'
_space_group_name_H-M_alt 'F -4 3 m'
_space_group_IT_number 216
_space_group_name_Hall 'F -4 2 3'
_cell_length_a 7.129
_cell_length_b 7.129
_cell_length_c 7.129
_cell_angle_alpha 90.00
_cell_angle_beta 90.00
_cell_angle_gamma 90.00
loop_
_atom_site_label
_atom_site_type_symbol
_atom_site_fract_x
_atom_site_fract_y
_atom_site_fract_z
Gd1 Gd 0.000 0.000 0.000
Pa1 Pa 0.000 0.000 0.500
Ga1 Ga 0.250 0.250 0.250
Pd1 Pd 0.250 0.250 0.750

# PmGdPaGa | the Alexandria database | PBE-GGA | relaxed
# Total magnetization (Bohr magnetons per cell): 30.72
# E_tot (eV per atom): -7.689
data_PmGdPaGa
_chemical_formula_sum 'Pm4 Gd4 Pa4 Ga4'
_space_group_name_H-M_alt 'F -4 3 m'
_space_group_IT_number 216
_space_group_name_Hall 'F -4 2 3'
_cell_length_a 7.456
_cell_length_b 7.456
_cell_length_c 7.456
_cell_angle_alpha 90.00
_cell_angle_beta 90.00
_cell_angle_gamma 90.00
loop_
_atom_site_label
_atom_site_type_symbol
_atom_site_fract_x
_atom_site_fract_y
_atom_site_fract_z
Pm1 Pm 0.000 0.000 0.000
Gd1 Gd 0.000 0.000 0.500
Pa1 Pa 0.250 0.250 0.750
Ga1 Ga 0.250 0.250 0.250

# GdPaGaRh | the Alexandria database | PBE-GGA | relaxed
# Total magnetization (Bohr magnetons per cell): 29.99
# E_tot (eV per atom): -8.892
data_GdPaGaRh
_chemical_formula_sum 'Gd4 Pa4 Ga4 Rh4'
_space_group_name_H-M_alt 'F -4 3 m'
_space_group_IT_number 216
_space_group_name_Hall 'F -4 2 3'
_cell_length_a 7.046
_cell_length_b 7.046
_cell_length_c 7.046
_cell_angle_alpha 90.00
_cell_angle_beta 90.00
_cell_angle_gamma 90.00
loop_
_atom_site_label
_atom_site_type_symbol
_atom_site_fract_x
_atom_site_fract_y
_atom_site_fract_z
Gd1 Gd 0.000 0.000 0.000
Pa1 Pa 0.000 0.000 0.500
Ga1 Ga 0.250 0.250 0.750
Rh1 Rh 0.250 0.250 0.250

# GdThPaGa | the Alexandria database | PBE-GGA | relaxed
# Total magnetization (Bohr magnetons per cell): 32.58
# E_tot (eV per atom): -8.392
data_GdThPaGa
_chemical_formula_sum 'Gd4 Th4 Pa4 Ga4'
_space_group_name_H-M_alt 'F -4 3 m'
_space_group_IT_number 216
_space_group_name_Hall 'F -4 2 3'
_cell_length_a 7.483
_cell_length_b 7.483
_cell_length_c 7.483
_cell_angle_alpha 90.00
_cell_angle_beta 90.00
_cell_angle_gamma 90.00
loop_
_atom_site_label
_atom_site_type_symbol
_atom_site_fract_x
_atom_site_fract_y
_atom_site_fract_z
Gd1 Gd 0.000 0.000 0.000
Th1 Th 0.000 0.000 0.500
Pa1 Pa 0.250 0.250 0.250
Ga1 Ga 0.250 0.250 0.750

# Gd2GaPb | the Alexandria database | PBE-GGA | relaxed
# Total magnetization (Bohr magnetons per cell): 14.59
# Distance to the lowest polymorph of the same formula (meV/atom): 0
data_Gd2GaPb
_chemical_formula_sum 'Gd2 Ga1 Pb1'
_space_group_name_H-M_alt 'P 4/m m m'
_space_group_IT_number 123
_space_group_name_Hall '-P 4 2'
_cell_length_a 3.457
_cell_length_b 3.457
_cell_length_c 8.765
_cell_angle_alpha 90.00
_cell_angle_beta 90.00
_cell_angle_gamma 90.00
loop_
_atom_site_label
_atom_site_type_symbol
_atom_site_fract_x
_atom_site_fract_y
_atom_site_fract_z
Gd1 Gd 0.000 0.000 0.225
Ga1 Ga 0.500 0.500 0.000
Pb1 Pb 0.500 0.500 0.500

# Gd2GaPb | the Alexandria database | PBE-GGA | relaxed
# Total magnetization (Bohr magnetons per cell): 57.16
# Distance to the lowest polymorph of the same formula (meV/atom): 65
data_Gd2GaPb
_chemical_formula_sum 'Gd8 Ga4 Pb4'
_space_group_name_H-M_alt 'F m -3 m'
_space_group_IT_number 225
_space_group_name_Hall '-F 4 2 3'
_cell_length_a 7.527
_cell_length_b 7.527
_cell_length_c 7.527
_cell_angle_alpha 90.00
_cell_angle_beta 90.00
_cell_angle_gamma 90.00
loop_
_atom_site_label
_atom_site_type_symbol
_atom_site_fract_x
_atom_site_fract_y
_atom_site_fract_z
Gd1 Gd 0.250 0.250 0.250
Ga1 Ga 0.000 0.000 0.000
Pb1 Pb 0.000 0.000 0.500

# GdGa4Pb | the Alexandria database | PBE-GGA | relaxed
# Total magnetization (Bohr magnetons per cell): 29.05
# E_tot (eV per atom): -5.218
data_GdGa4Pb
_chemical_formula_sum 'Gd4 Ga16 Pb4'
_space_group_name_H-M_alt 'F -4 3 m'
_space_group_IT_number 216
_space_group_name_Hall 'F -4 2 3'
_cell_length_a 8.002
_cell_length_b 8.002
_cell_length_c 8.002
_cell_angle_alpha 90.00
_cell_angle_beta 90.00
_cell_angle_gamma 90.00
loop_
_atom_site_label
_atom_site_type_symbol
_atom_site_fract_x
_atom_site_fract_y
_atom_site_fract_z
Gd1 Gd 0.000 0.000 0.000
Ga1 Ga 0.125 0.125 0.375
Pb1 Pb 0.250 0.250 0.750

# Gd2GaPb | the Alexandria database | PBE-GGA | relaxed
# Total magnetization (Bohr magnetons per cell): 43.84
# Distance to the lowest polymorph of the same formula (meV/atom): 132
data_Gd2GaPb
_chemical_formula_sum 'Gd6 Ga3 Pb3'
_space_group_name_H-M_alt 'R -3 m'
_space_group_IT_number 166
_space_group_name_Hall '-R 3 2"'
_cell_length_a 3.7262
_cell_length_b 3.7262
_cell_length_c 28.2414
_cell_angle_alpha 90.00
_cell_angle_beta 90.00
_cell_angle_gamma 120.00
loop_
_atom_site_label
_atom_site_type_symbol
_atom_site_fract_x
_atom_site_fract_y
_atom_site_fract_z
Gd1 Gd 0.0000 0.0000 0.2411
Ga1 Ga 0.0000 0.0000 0.5000
Pb1 Pb 0.0000 0.0000 0.0000